DFT (PBE-GGA) results for a geometry-optimized ErTm2Te3 structure.

Output
formation energy without anion corrections: -1.22 eV per atom
relative energy among the computed polymorphs: 0 meV/atom

The structure in CIF format:
```
data_ErTm2Te3
_symmetry_space_group_name_H-M 'R -3 c'
_symmetry_Int_Tables_number 167
_symmetry_space_group_name_Hall '-R 3 2"c'
_cell_length_a 7.1583
_cell_length_b 7.1583
_cell_length_c 23.0528
_cell_angle_alpha 90.00
_cell_angle_beta 90.00
_cell_angle_gamma 120.00
loop_
_atom_site_label
_atom_site_fract_x
_atom_site_fract_y
_atom_site_fract_z
Er1 0.0000 0.0000 0.0000
Tm1 0.0000 0.0000 0.1665
Te1 0.0000 0.3323 0.2500
```

DFT (PBE-GGA) results for a geometry-optimized Li2MgAu2 structure.

Output
relative energy among the computed polymorphs: 40 meV/atom

The structure in CIF format:
```
data_Li2MgAu2
_symmetry_space_group_name_H-M 'P 4/m b m'
_symmetry_Int_Tables_number 127
_symmetry_space_group_name_Hall '-P 4 2ab'
_cell_length_a 7.2195
_cell_length_b 7.2195
_cell_length_c 3.3655
_cell_angle_alpha 90.00
_cell_angle_beta 90.00
_cell_angle_gamma 90.00
loop_
_atom_site_label
_atom_site_fract_x
_atom_site_fract_y
_atom_site_fract_z
Li1 0.1530 0.3471 0.0000
Mg1 0.0000 0.0000 0.5000
Au1 0.1436 0.6436 0.5000
```

DFT (PBE-GGA) results for a geometry-optimized TbPu3Se4 structure.

Output
formation energy without anion corrections: -1.60 eV per atom
relative energy among the computed polymorphs: 6 meV/atom

The structure in CIF format:
```
data_TbPu3Se4
_symmetry_space_group_name_H-M 'P m -3 m'
_symmetry_Int_Tables_number 221
_symmetry_space_group_name_Hall '-P 4 2 3'
_cell_length_a 5.8438
_cell_length_b 5.8438
_cell_length_c 5.8438
_cell_angle_alpha 90.00
_cell_angle_beta 90.00
_cell_angle_gamma 90.00
loop_
_atom_site_label
_atom_site_fract_x
_atom_site_fract_y
_atom_site_fract_z
Tb1 0.0000 0.0000 0.0000
Pu1 0.0000 0.5000 0.5000
Se1 0.0000 0.0000 0.5000
Se2 0.5000 0.5000 0.5000
```

DFT (PBE-GGA) results for a geometry-optimized Li2Zn2Pt7 structure.

Output
DFT total energy: -4.60 eV/atom

The structure in CIF format:
```
data_Li2Zn2Pt7
_symmetry_space_group_name_H-M 'C 1 2/m 1'
_symmetry_Int_Tables_number 12
_cell_length_a 9.8482
_cell_length_b 8.0018
_cell_length_c 4.5750
_cell_angle_alpha 90.00
_cell_angle_beta 98.10
_cell_angle_gamma 90.00
loop_
_symmetry_equiv_pos_as_xyz
'x,y,z'
'-x,-y,-z'
'-x,y,-z'
'x,-y,z'
'x+1/2,y+1/2,z'
'-x+1/2,-y+1/2,-z'
'-x+1/2,y+1/2,-z'
'x+1/2,-y+1/2,z'
loop_
_atom_site_label
_atom_site_fract_x
_atom_site_fract_y
_atom_site_fract_z
Li1 0.2456 0.0000 0.2705
Zn1 0.0000 0.2910 0.5000
Pt1 0.0000 0.5000 0.0000
Pt2 0.0581 0.0000 0.7746
Pt3 0.2107 0.3210 0.2362
```

DFT (PBE-GGA) results for a geometry-optimized LiSiPb2 structure.

Output
formation energy without anion corrections: 0.15 eV per atom

The structure in CIF format:
```
data_LiSiPb2
_symmetry_space_group_name_H-M 'I -4 m 2'
_symmetry_Int_Tables_number 119
_symmetry_space_group_name_Hall 'I -4 -2'
_cell_length_a 4.4603
_cell_length_b 4.4603
_cell_length_c 9.7108
_cell_angle_alpha 90.00
_cell_angle_beta 90.00
_cell_angle_gamma 90.00
loop_
_atom_site_label
_atom_site_fract_x
_atom_site_fract_y
_atom_site_fract_z
Li1 0.0000 0.0000 0.0000
Si1 0.0000 0.5000 0.2500
Pb1 0.0000 0.0000 0.5000
Pb2 0.0000 0.5000 0.7500
```

DFT (PBE-GGA) results for a geometry-optimized CoCuNi5 structure.

Output
relative energy among the computed polymorphs: 0 meV/atom

The structure in CIF format:
```
data_CoCuNi5
_symmetry_space_group_name_H-M 'C m m m'
_symmetry_Int_Tables_number 65
_symmetry_space_group_name_Hall '-C 2 2'
_cell_length_a 4.9665
_cell_length_b 6.8667
_cell_length_c 4.9361
_cell_angle_alpha 90.00
_cell_angle_beta 90.00
_cell_angle_gamma 90.00
loop_
_atom_site_label
_atom_site_fract_x
_atom_site_fract_y
_atom_site_fract_z
Co1 0.0000 0.0000 0.0000
Cu1 0.0000 0.5000 0.5000
Ni1 0.0000 0.0000 0.5000
Ni2 0.2500 0.2500 0.2422
```